Density functional theory data (GGA-PBE) for a relaxed structure of Ni2PtSe. Values from VASP.

Summary:
The calculation puts the calculated volume at 56 Å³/f.u. The density comes out at 11.71 Mg/m³. As for the energy relative to the elements, uncorrected: 63 meV/atom.

The structure in Quantum ESPRESSO input format:
```
&SYSTEM
  ibrav = 0, nat = 4, ntyp = 3
/
ATOMIC_SPECIES
Ni 58.69 Ni.upf
Pt 195.08 Pt.upf
Se 78.96 Se.upf
CELL_PARAMETERS angstrom
3.0299 0.0000 0.0000
0.0000 3.3657 0.0000
0.0000 0.0000 5.4427
ATOMIC_POSITIONS crystal
Ni 0.0000 0.0000 0.9951
Ni 0.5000 0.5000 0.2279
Pt 0.0000 0.0000 0.4752
Se 0.5000 0.5000 0.8018
```



Density functional theory data (GGA-PBE) for a relaxed structure of Ni2PtSe. Values from VASP.

Summary:
The calculation puts the calculated volume at 58 Å³/f.u. The density comes out at 11.27 Mg/m³. As for the energy relative to the elements, uncorrected: 73 meV/atom.

The structure in Quantum ESPRESSO input format:
```
&SYSTEM
  ibrav = 0, nat = 8, ntyp = 3
/
ATOMIC_SPECIES
Ni 58.69 Ni.upf
Se 78.96 Se.upf
Pt 195.08 Pt.upf
CELL_PARAMETERS angstrom
6.7452 0.0000 0.0000
0.0000 6.7452 0.0000
3.3726 3.3726 2.5356
ATOMIC_POSITIONS crystal
Ni 0.5952 0.1250 0.2500
Ni 0.1548 0.6250 0.2500
Ni 0.3750 0.4048 0.7500
Ni 0.8750 0.8452 0.7500
Se 0.5000 0.5000 0.0000
Se 0.2500 0.7500 0.5000
Pt 0.0000 0.0000 0.0000
Pt 0.7500 0.2500 0.5000
```



Density functional theory data (GGA-PBE) for a relaxed structure of NiPt3Se. Values from VASP.

Summary:
The calculation puts the calculated volume at 101 Å³/f.u. The density comes out at 11.91 Mg/m³. As for the energy relative to the elements, uncorrected: 903 meV/atom.

The structure in Quantum ESPRESSO input format:
```
&SYSTEM
  ibrav = 0, nat = 5, ntyp = 3
/
ATOMIC_SPECIES
Ni 58.69 Ni.upf
Se 78.96 Se.upf
Pt 195.08 Pt.upf
CELL_PARAMETERS angstrom
4.6540 0.0000 0.0000
0.0000 4.6540 0.0000
0.0000 0.0000 4.6540
ATOMIC_POSITIONS crystal
Ni 0.5000 0.5000 0.5000
Se 0.0000 0.0000 0.0000
Pt 0.0000 0.5000 0.0000
Pt 0.0000 0.0000 0.5000
Pt 0.5000 0.0000 0.0000
```



Density functional theory data (GGA-PBE) for a relaxed structure of Ni2PtSe. Values from VASP.

Summary:
The calculation puts the calculated volume at 55 Å³/f.u. The density comes out at 11.79 Mg/m³. As for the energy relative to the elements, uncorrected: 99 meV/atom.

The structure in Quantum ESPRESSO input format:
```
&SYSTEM
  ibrav = 0, nat = 4, ntyp = 3
/
ATOMIC_SPECIES
Ni 58.69 Ni.upf
Pt 195.08 Pt.upf
Se 78.96 Se.upf
CELL_PARAMETERS angstrom
6.1315 0.0102 0.0284
-2.3922 3.7537 -0.0076
1.3472 0.8609 2.4005
ATOMIC_POSITIONS crystal
Ni 0.0000 0.0000 0.0000
Ni 0.5000 0.0000 0.5000
Pt 0.0000 0.5000 0.5000
Se 0.5000 0.5000 0.0000
```



Density functional theory data (GGA-PBE) for a relaxed structure of NiPt2Se4. Values from VASP.

Summary:
The calculation puts the calculated volume at 142 Å³/f.u. The density comes out at 8.95 Mg/m³. As for the energy relative to the elements, uncorrected: -321 meV/atom.

The structure in Quantum ESPRESSO input format:
```
&SYSTEM
  ibrav = 0, nat = 28, ntyp = 3
/
ATOMIC_SPECIES
Ni 58.69 Ni.upf
Pt 195.08 Pt.upf
Se 78.96 Se.upf
CELL_PARAMETERS angstrom
7.3727 0.0000 0.0000
-3.6864 6.0353 -2.0965
0.0000 -0.0693 12.7777
ATOMIC_POSITIONS crystal
Ni 0.9375 0.3748 0.3123
Ni 0.4373 0.3748 0.8123
Ni 0.5627 0.6252 0.1877
Ni 0.0625 0.6252 0.6877
Pt 0.5000 0.0000 0.0000
Pt 0.0000 0.0000 0.5000
Pt 0.0000 0.5000 0.0000
Pt 0.5000 0.5000 0.5000
Pt 0.2501 0.0000 0.2500
Pt 0.7499 0.0000 0.7500
Pt 0.5000 0.0000 0.5000
Pt 0.0000 0.0000 0.0000
Se 0.3664 0.7558 0.1221
Se 0.8664 0.7559 0.6222
Se 0.1336 0.2441 0.3778
Se 0.6336 0.2442 0.8779
Se 0.1338 0.7676 0.3778
Se 0.6338 0.7676 0.8778
Se 0.6279 0.7558 0.3839
Se 0.1279 0.7558 0.8839
Se 0.8896 0.7559 0.1221
Se 0.3894 0.7558 0.6221
Se 0.8721 0.2442 0.1161
Se 0.3721 0.2442 0.6161
Se 0.3662 0.2324 0.1222
Se 0.8662 0.2324 0.6222
Se 0.6106 0.2442 0.3779
Se 0.1104 0.2441 0.8779
```



Density functional theory data (GGA-PBE) for a relaxed structure of Ni2PtSe. Values from VASP.

Summary:
The calculation puts the calculated volume at 56 Å³/f.u. The density comes out at 11.55 Mg/m³. As for the energy relative to the elements, uncorrected: 215 meV/atom.

The structure in Quantum ESPRESSO input format:
```
&SYSTEM
  ibrav = 0, nat = 4, ntyp = 3
/
ATOMIC_SPECIES
Ni 58.69 Ni.upf
Pt 195.08 Pt.upf
Se 78.96 Se.upf
CELL_PARAMETERS angstrom
-1.8398 2.3880 -0.4316
0.4198 -0.4644 -4.3581
-3.3198 -2.5661 -0.0463
ATOMIC_POSITIONS crystal
Ni 0.0000 0.0000 0.0000
Ni 0.5000 0.5000 0.0000
Pt 0.5000 0.0000 0.5000
Se 0.0000 0.5000 0.5000
```



Density functional theory data (GGA-PBE) for a relaxed structure of Ni2PtSe. Values from VASP.

Summary:
The calculation puts the calculated volume at 56 Å³/f.u. The density comes out at 11.54 Mg/m³. As for the energy relative to the elements, uncorrected: 175 meV/atom.

The structure in Quantum ESPRESSO input format:
```
&SYSTEM
  ibrav = 0, nat = 4, ntyp = 3
/
ATOMIC_SPECIES
Ni 58.69 Ni.upf
Pt 195.08 Pt.upf
Se 78.96 Se.upf
CELL_PARAMETERS angstrom
-1.6661 0.4282 2.5359
2.7115 -2.8627 2.2649
4.3430 1.0244 2.6804
ATOMIC_POSITIONS crystal
Ni 0.0000 0.0000 0.0000
Ni 0.5000 0.5000 0.0000
Pt 0.5000 0.5000 0.5000
Se 0.0000 0.0000 0.5000
```



Density functional theory data (GGA-PBE) for a relaxed structure of Ni4PtSe. Values from VASP.

Summary:
The calculation puts the calculated volume at 78 Å³/f.u. The density comes out at 10.86 Mg/m³. As for the energy relative to the elements, uncorrected: 237 meV/atom.

The structure in Quantum ESPRESSO input format:
```
&SYSTEM
  ibrav = 0, nat = 6, ntyp = 3
/
ATOMIC_SPECIES
Ni 58.69 Ni.upf
Pt 195.08 Pt.upf
Se 78.96 Se.upf
CELL_PARAMETERS angstrom
-4.5235 -1.5397 0.3651
-2.7330 1.4401 3.6638
-3.6321 3.0309 -0.7665
ATOMIC_POSITIONS crystal
Ni 0.8735 0.3755 0.3755
Ni 0.3755 0.3755 0.8735
Ni 0.3755 0.8735 0.3755
Ni 0.3755 0.3755 0.3755
Pt 0.7500 0.7500 0.7500
Se 0.0000 0.0000 0.0000
```